Record 1
A plane-wave DFT calculation with SCAN was carried out for a PBEsol-optimized structure of LaOsCl2.

Computed properties:
**V**: 18.66 Å³/atom
**Excess energy over the best structure of this formula in the dataset**: 597 meV/atom
**Raw formation energy**: -197.9 meV per atom
**Size of the total moment**: 0.00 μB per formula unit

Cell: 4.3364 4.3364 3.9704 Å, 90.00 90.00 90.00°
Space group P4/mmm (No. 123)
Asymmetric unit:
La  0.0000  0.0000  0.0000 x1
Os  0.5000  0.5000  0.0000 x1
Cl  0.0000  0.5000  0.5000 x2


Record 2
A plane-wave DFT calculation with SCAN was carried out for a PBEsol-optimized structure of La2OsCl.

Computed properties:
**V**: 27.04 Å³/atom
**Excess energy over the best structure of this formula in the dataset**: 0 meV/atom
**Raw formation energy**: -1109.8 meV per atom
**Size of the total moment**: 0.00 μB per formula unit

Cell: 4.1167 4.1167 22.1048 Å, 90.00 90.00 120.00°
Space group R-3m (No. 166, hexagonal axes)
Asymmetric unit:
La  0.0000  0.0000  0.2356 x6
Os  0.0000  0.0000  0.5000 x3
Cl  0.0000  0.0000  0.0000 x3


Record 3
A plane-wave DFT calculation with SCAN was carried out for a PBEsol-optimized structure of La2OsCl.

Computed properties:
**V**: 23.19 Å³/atom
**Excess energy over the best structure of this formula in the dataset**: 52 meV/atom
**Raw formation energy**: -1057.7 meV per atom
**Size of the total moment**: 0.00 μB per formula unit

Cell: 3.3860 3.3860 8.0917 Å, 90.00 90.00 90.00°
Space group P4/mmm (No. 123)
Asymmetric unit:
La  0.0000  0.0000  0.2209 x2
Os  0.5000  0.5000  0.0000 x1
Cl  0.5000  0.5000  0.5000 x1